Entry from Alexandria via LeMat-Bulk: an optimized crystal structure of TeAsCl2 (PBE).

abc: 10.4236 10.4236 10.4236
angles: 18.27 18.27 18.27
Closest atoms and distances in Å follow each position.
Positions (direct):
Te 0.0000 0.0000 0.0000  6 Te 3.31, 6 Cl 3.38
As 0.5000 0.5000 0.5000  2 Cl 2.33
Cl 0.4241 0.4241 0.4241  1 As 2.33
Cl 0.5759 0.5759 0.5759  1 As 2.33

Values from the calculation:
* symmetry: R-3m, No. 166
* uncorrected energy: -2.8177 eV/atom
* energy relative to the lowest polymorph listed for this composition: 460.8 meV/atom
* uncorrected formation energy: 0.0534 eV/atom